The following is a DFT calculation (meta-GGA SCAN) of a crystal of AlFe3Re relaxed with PBEsol.

Cell: 4.396 4.396 4.396 Å, 90.00 90.00 90.00°
Positions (direct):
Al1 0.000 0.000 0.000
Fe1 0.000 0.500 0.500
Fe2 0.500 0.000 0.500
Fe3 0.500 0.500 0.000
Re1 0.500 0.500 0.500

Computed properties:
E_form, kJ/mol of formula units: 738
Crystal system: cubic

---

The following is a DFT calculation (meta-GGA SCAN) of a crystal of CaSiW relaxed with PBEsol.

Cell: 5.796 5.796 5.796 Å, 146.31 146.31 48.38°
Positions (direct):
Ca1 0.000 0.000 0.000
Si1 0.279 0.279 0.000
W1 0.714 0.714 0.000

Computed properties:
Crystal system: tetragonal
Formation energy without anion corrections, eV/atom: 0.2539

---

The following is a DFT calculation (meta-GGA SCAN) of a crystal of YNi3 relaxed with PBEsol.

Cell: 8.484 8.484 8.484 Å, 33.45 33.45 33.45°
Positions (direct):
Y1 0.000 0.000 0.000
Y2 0.139 0.139 0.139
Y3 0.861 0.861 0.861
Ni1 0.081 0.582 0.582
Ni2 0.333 0.333 0.333
Ni3 0.418 0.418 0.919
Ni4 0.418 0.919 0.418
Ni5 0.500 0.500 0.500
Ni6 0.582 0.081 0.582
Ni7 0.582 0.582 0.081
Ni8 0.667 0.667 0.667
Ni9 0.919 0.418 0.418

Computed properties:
E_form, kJ/mol of formula units: -148
Crystal system: trigonal

---

The following is a DFT calculation (meta-GGA SCAN) of a crystal of LiHfIr2 relaxed with PBEsol.

Cell: 4.369 4.369 4.369 Å, 60.00 60.00 60.00°
Positions (direct):
Li1 0.000 0.000 0.000
Hf1 0.500 0.500 0.500
Ir1 0.250 0.250 0.250
Ir2 0.750 0.750 0.750

Computed properties:
E_form, kJ/mol of formula units: -320
Crystal system: cubic

---

The following is a DFT calculation (meta-GGA SCAN) of a crystal of LiTa2Pt relaxed with PBEsol.

Cell: 4.458 4.458 4.458 Å, 60.00 60.00 60.00°
Positions (direct):
Li1 0.000 0.000 0.000
Ta1 0.250 0.250 0.250
Ta2 0.500 0.500 0.500
Pt1 0.750 0.750 0.750

Computed properties:
E_form, kJ/mol of formula units: -20
Crystal system: cubic

---

The following is a DFT calculation (meta-GGA SCAN) of a crystal of MnAlTc2 relaxed with PBEsol.

Cell: 8.556 8.556 8.556 Å, 18.11 18.11 18.11°
Positions (direct):
Mn1 0.000 0.000 0.000
Al1 0.253 0.253 0.253
Tc1 0.498 0.498 0.498
Tc2 0.745 0.745 0.745

Computed properties:
E_form, kJ/mol of formula units: 7
Crystal system: trigonal

---

The following is a DFT calculation (meta-GGA SCAN) of a crystal of Tl5Cd relaxed with PBEsol.

Cell: 6.413 6.413 7.793 Å, 106.47 106.47 32.12°
Positions (direct):
Tl1 0.000 0.000 0.000
Tl2 0.019 0.019 0.579
Tl3 0.362 0.362 0.239
Tl4 0.663 0.663 0.353
Tl5 0.705 0.705 0.895
Cd1 0.325 0.325 0.667

Computed properties:
Energy above the most stable polymorph in this dataset, meV/atom: 0
E_form, kJ/mol of formula units: 20
Crystal system: monoclinic

---

The following is a DFT calculation (meta-GGA SCAN) of a crystal of CsPd3N relaxed with PBEsol.

Cell: 4.368 4.368 4.368 Å, 90.00 90.00 90.00°
Positions (direct):
Cs1 0.000 0.000 0.000
Pd1 0.000 0.500 0.500
Pd2 0.500 0.000 0.500
Pd3 0.500 0.500 0.000
N1 0.500 0.500 0.500

Computed properties:
Crystal system: cubic
Formation energy without anion corrections, eV/atom: 0.5489

---

The following is a DFT calculation (meta-GGA SCAN) of a crystal of NbCrFeCo2 relaxed with PBEsol.

Cell: 4.353 4.353 4.458 Å, 90.00 90.00 90.00°
Positions (direct):
Nb1 0.000 0.000 0.000
Cr1 0.000 0.000 0.500
Fe1 0.500 0.500 0.500
Co1 0.000 0.500 0.000
Co2 0.500 0.000 0.000

Computed properties:
E_form, kJ/mol of formula units: 825
Crystal system: tetragonal

---

The following is a DFT calculation (meta-GGA SCAN) of a crystal of YZnPS2 relaxed with PBEsol.

Cell: 4.640 4.640 4.512 Å, 90.00 90.00 90.00°
Positions (direct):
Y1 0.000 0.000 0.000
Zn1 0.500 0.500 0.500
P1 0.500 0.500 0.000
S1 0.000 0.500 0.500
S2 0.500 0.000 0.500

Computed properties:
Crystal system: tetragonal
Formation energy without anion corrections, eV/atom: -0.4294

---

The following is a DFT calculation (meta-GGA SCAN) of a crystal of Na4Al3FeSi8O24 relaxed with PBEsol.

Cell: 5.241 8.581 9.327 Å, 90.00 104.71 90.00°
Positions (direct):
Na1 0.000 0.000 0.000
Na2 0.000 0.099 0.500
Na3 0.500 0.498 0.500
Na4 0.500 0.600 0.000
Al1 0.000 0.392 0.000
Al2 0.000 0.706 0.500
Al3 0.500 0.892 0.500
Fe1 0.500 0.212 0.000
Si1 0.185 0.393 0.709
Si2 0.185 0.705 0.210
Si3 0.315 0.204 0.290
Si4 0.315 0.894 0.791
Si5 0.685 0.204 0.710
Si6 0.685 0.894 0.209
Si7 0.815 0.393 0.291
Si8 0.815 0.705 0.790
O1 0.100 0.305 0.354
O2 0.101 0.791 0.854
O3 0.181 0.563 0.638
O4 0.182 0.534 0.139
O5 0.227 0.222 0.108
O6 0.231 0.875 0.609
O7 0.269 0.378 0.892
O8 0.270 0.723 0.392
O9 0.309 0.065 0.860
O10 0.319 0.034 0.361
O11 0.399 0.808 0.145
O12 0.400 0.291 0.646
O13 0.600 0.291 0.354
O14 0.601 0.808 0.855
O15 0.681 0.034 0.639
O16 0.691 0.065 0.140
O17 0.730 0.723 0.608
O18 0.731 0.378 0.108
O19 0.769 0.875 0.391
O20 0.773 0.222 0.892
O21 0.818 0.534 0.861
O22 0.819 0.563 0.362
O23 0.899 0.791 0.146
O24 0.900 0.305 0.646

Computed properties:
Crystal system: monoclinic
Formation energy without anion corrections, eV/atom: -2.9125

---

The following is a DFT calculation (meta-GGA SCAN) of a crystal of FeCuAu2S relaxed with PBEsol.

Cell: 4.694 4.694 4.368 Å, 90.00 90.00 90.00°
Positions (direct):
Fe1 0.000 0.000 0.000
Cu1 0.000 0.000 0.500
Au1 0.000 0.500 0.000
Au2 0.500 0.000 0.000
S1 0.500 0.500 0.500

Computed properties:
Crystal system: tetragonal
Formation energy without anion corrections, eV/atom: 1.0486

---

The following is a DFT calculation (meta-GGA SCAN) of a crystal of Mg2ScAs relaxed with PBEsol.

Cell: 3.637 3.637 6.122 Å, 90.00 90.00 90.00°
Positions (direct):
Mg1 0.000 0.000 0.000
Mg2 0.500 0.500 0.249
Sc1 0.000 0.000 0.529
As1 0.500 0.500 0.713

Computed properties:
E_form, kJ/mol of formula units: -173
Crystal system: tetragonal

---

The following is a DFT calculation (meta-GGA SCAN) of a crystal of ZrReIr3 relaxed with PBEsol.

Cell: 4.683 4.683 4.683 Å, 90.00 90.00 90.00°
Positions (direct):
Zr1 0.000 0.000 0.000
Re1 0.500 0.500 0.500
Ir1 0.000 0.000 0.500
Ir2 0.000 0.500 0.000
Ir3 0.500 0.000 0.000

Computed properties:
E_form, kJ/mol of formula units: 1130
Crystal system: cubic

---

The following is a DFT calculation (meta-GGA SCAN) of a crystal of LiReSb2 relaxed with PBEsol.

Cell: 4.486 5.165 5.165 Å, 37.35 90.00 90.00°
Positions (direct):
Li1 0.000 0.000 0.000
Re1 0.500 0.151 0.151
Sb1 0.000 0.730 0.730
Sb2 0.500 0.435 0.435

Computed properties:
Energy above the most stable polymorph in this dataset, meV/atom: 74
Crystal system: orthorhombic
Formation energy without anion corrections, eV/atom: 0.1951

---

The following is a DFT calculation (meta-GGA SCAN) of a crystal of Cd2HgTe relaxed with PBEsol.

Cell: 3.065 3.997 8.028 Å, 90.00 90.00 90.00°
Positions (direct):
Cd1 0.000 0.000 0.221
Cd2 0.000 0.000 0.779
Hg1 0.500 0.500 0.000
Te1 0.000 0.500 0.500

Computed properties:
Energy above the most stable polymorph in this dataset, meV/atom: 47
Crystal system: orthorhombic
Formation energy without anion corrections, eV/atom: -0.0482

---

The following is a DFT calculation (meta-GGA SCAN) of a crystal of MgFeMo relaxed with PBEsol.

Cell: 2.761 2.761 6.608 Å, 90.00 90.00 120.00°
Positions (direct):
Mg1 0.000 0.000 0.000
Fe1 0.667 0.333 0.333
Mo1 0.333 0.667 0.615

Computed properties:
E_form, kJ/mol of formula units: 130
Crystal system: trigonal

---

The following is a DFT calculation (meta-GGA SCAN) of a crystal of MgReBr relaxed with PBEsol.

Cell: 3.061 3.061 6.567 Å, 90.00 90.00 120.00°
Positions (direct):
Mg1 0.000 0.000 0.000
Re1 0.333 0.667 0.675
Br1 0.667 0.333 0.381

Computed properties:
Energy above the most stable polymorph in this dataset, meV/atom: 0
Crystal system: trigonal
Formation energy without anion corrections, eV/atom: 0.6882

---

The following is a DFT calculation (meta-GGA SCAN) of a crystal of CsSrTi2Hg relaxed with PBEsol.

Cell: 5.348 5.348 6.075 Å, 90.00 90.00 90.00°
Positions (direct):
Cs1 0.000 0.000 0.000
Sr1 0.500 0.500 0.000
Ti1 0.000 0.500 0.500
Ti2 0.500 0.000 0.500
Hg1 0.500 0.500 0.500

Computed properties:
E_form, kJ/mol of formula units: 287
Crystal system: tetragonal

---

The following is a DFT calculation (meta-GGA SCAN) of a crystal of AlPtN3 relaxed with PBEsol.

Cell: 3.698 3.698 3.698 Å, 90.00 90.00 90.00°
Positions (direct):
Al1 0.000 0.000 0.000
Pt1 0.500 0.500 0.500
N1 0.000 0.000 0.500
N2 0.000 0.500 0.000
N3 0.500 0.000 0.000

Computed properties:
Crystal system: cubic
Formation energy without anion corrections, eV/atom: 1.2210

---

The following is a DFT calculation (meta-GGA SCAN) of a crystal of Li2TeAs relaxed with PBEsol.

Cell: 3.080 4.031 6.149 Å, 90.00 90.00 90.00°
Positions (direct):
Li1 0.000 0.000 0.221
Li2 0.000 0.000 0.779
Te1 0.500 0.500 0.500
As1 0.500 0.500 0.000

Computed properties:
Energy above the most stable polymorph in this dataset, meV/atom: 6
Crystal system: orthorhombic
Formation energy without anion corrections, eV/atom: -0.5493

---

The following is a DFT calculation (meta-GGA SCAN) of a crystal of Ba3Ta2CoO9 relaxed with PBEsol.

Cell: 5.742 5.742 7.065 Å, 90.00 90.00 120.00°
Positions (direct):
Ba1 0.000 0.000 0.000
Ba2 0.333 0.667 0.661
Ba3 0.667 0.333 0.339
Ta1 0.333 0.667 0.176
Ta2 0.667 0.333 0.824
Co1 0.000 0.000 0.500
O1 0.000 0.500 0.000
O2 0.170 0.341 0.327
O3 0.170 0.830 0.327
O4 0.341 0.170 0.673
O5 0.500 0.000 0.000
O6 0.500 0.500 0.000
O7 0.659 0.830 0.327
O8 0.830 0.170 0.673
O9 0.830 0.659 0.673

Computed properties:
Crystal system: trigonal
Formation energy without anion corrections, eV/atom: -3.0149

---

The following is a DFT calculation (meta-GGA SCAN) of a crystal of TcTe2W relaxed with PBEsol.

Cell: 4.637 4.637 4.637 Å, 60.00 60.00 60.00°
Positions (direct):
Tc1 0.000 0.000 0.000
Te1 0.250 0.250 0.250
Te2 0.750 0.750 0.750
W1 0.500 0.500 0.500

Computed properties:
Energy above the most stable polymorph in this dataset, meV/atom: 0
Crystal system: cubic
Formation energy without anion corrections, eV/atom: 0.5823

---

The following is a DFT calculation (meta-GGA SCAN) of a crystal of In2AsSe relaxed with PBEsol.

Cell: 4.048 4.048 5.660 Å, 90.00 90.00 90.00°
Positions (direct):
In1 0.000 0.000 0.000
In2 0.500 0.500 0.500
As1 0.000 0.000 0.500
Se1 0.500 0.500 0.000

Computed properties:
Energy above the most stable polymorph in this dataset, meV/atom: 5
Crystal system: tetragonal
Formation energy without anion corrections, eV/atom: -0.3216

---

The following is a DFT calculation (meta-GGA SCAN) of a crystal of LaSiRu relaxed with PBEsol.

Cell: 4.108 4.108 4.308 Å, 90.00 90.00 120.00°
Positions (direct):
La1 0.000 0.000 0.000
Si1 0.667 0.333 0.500
Ru1 0.333 0.667 0.500

Computed properties:
Crystal system: hexagonal
Formation energy without anion corrections, eV/atom: -0.6400

---

The following is a DFT calculation (meta-GGA SCAN) of a crystal of CsAg2Sb2 relaxed with PBEsol.

Cell: 6.686 6.686 6.686 Å, 136.72 136.72 62.88°
Positions (direct):
Cs1 0.000 0.000 0.000
Ag1 0.250 0.750 0.500
Ag2 0.750 0.250 0.500
Sb1 0.372 0.372 0.000
Sb2 0.628 0.628 0.000

Computed properties:
Crystal system: tetragonal
Formation energy without anion corrections, eV/atom: -0.2037